Record 1
LaCoGe3: single point on PBEsol structure, meta-GGA SCAN.

Cell and atoms, written as CIF:
```
data_LaCoGe3
_chemical_formula_sum 'La1 Co1 Ge3'
_space_group_name_H-M_alt 'P m -3 m'
_space_group_IT_number 221
_space_group_name_Hall '-P 4 2 3'
_cell_length_a 4.594
_cell_length_b 4.594
_cell_length_c 4.594
_cell_angle_alpha 90.00
_cell_angle_beta 90.00
_cell_angle_gamma 90.00
loop_
_atom_site_label
_atom_site_type_symbol
_atom_site_fract_x
_atom_site_fract_y
_atom_site_fract_z
La1 La 0.000 0.000 0.000
Co1 Co 0.500 0.500 0.500
Ge1 Ge 0.000 0.500 0.500
```

Electronic total energy in hartree per atom: -0.873
Formation energy in eV per atom: -0.232



Record 2
HfFe3Tc: single point on PBEsol structure, meta-GGA SCAN.

Cell and atoms, written as CIF:
```
data_HfFe3Tc
_chemical_formula_sum 'Hf1 Fe3 Tc1'
_space_group_name_H-M_alt 'P m -3 m'
_space_group_IT_number 221
_space_group_name_Hall '-P 4 2 3'
_cell_length_a 4.290
_cell_length_b 4.290
_cell_length_c 4.290
_cell_angle_alpha 90.00
_cell_angle_beta 90.00
_cell_angle_gamma 90.00
loop_
_atom_site_label
_atom_site_type_symbol
_atom_site_fract_x
_atom_site_fract_y
_atom_site_fract_z
Hf1 Hf 0.000 0.000 0.000
Fe1 Fe 0.000 0.500 0.500
Tc1 Tc 0.500 0.500 0.500
```

Electronic total energy in hartree per atom: -1.078
Formation energy in eV per atom: 1.087



Record 3
Ba2SnPd2: single point on PBEsol structure, meta-GGA SCAN.

Cell and atoms, written as CIF:
```
data_Ba2SnPd2
_chemical_formula_sum 'Ba4 Sn2 Pd4'
_space_group_name_H-M_alt 'I 4/m m m'
_space_group_IT_number 139
_space_group_name_Hall '-I 4 2'
_cell_length_a 6.158
_cell_length_b 6.158
_cell_length_c 7.934
_cell_angle_alpha 90.00
_cell_angle_beta 90.00
_cell_angle_gamma 90.00
loop_
_atom_site_label
_atom_site_type_symbol
_atom_site_fract_x
_atom_site_fract_y
_atom_site_fract_z
Ba1 Ba 0.000 0.500 0.250
Sn1 Sn 0.000 0.000 0.000
Pd1 Pd 0.000 0.000 0.334
```

Electronic total energy in hartree per atom: -1.346
Formation energy in eV per atom: -0.502



Record 4
ErAlNi4: single point on PBEsol structure, meta-GGA SCAN.

Cell and atoms, written as CIF:
```
data_ErAlNi4
_chemical_formula_sum 'Er2 Al2 Ni8'
_space_group_name_H-M_alt 'C m m m'
_space_group_IT_number 65
_space_group_name_Hall '-C 2 2'
_cell_length_a 4.904
_cell_length_b 8.271
_cell_length_c 3.966
_cell_angle_alpha 90.00
_cell_angle_beta 90.00
_cell_angle_gamma 90.00
loop_
_atom_site_label
_atom_site_type_symbol
_atom_site_fract_x
_atom_site_fract_y
_atom_site_fract_z
Er1 Er 0.000 0.000 0.000
Al1 Al 0.000 0.500 0.500
Ni1 Ni 0.000 0.331 0.000
Ni2 Ni 0.250 0.250 0.500
```

Electronic total energy in hartree per atom: -0.773
Formation energy in eV per atom: -0.564



Record 5
TmTiClO3: single point on PBEsol structure, meta-GGA SCAN.

Cell and atoms, written as CIF:
```
data_TmTiClO3
_chemical_formula_sum 'Tm4 Ti4 Cl4 O12'
_space_group_name_H-M_alt 'C 1 2/m 1'
_space_group_IT_number 12
_space_group_name_Hall '-C 2y'
_cell_length_a 9.755
_cell_length_b 3.838
_cell_length_c 9.542
_cell_angle_alpha 90.00
_cell_angle_beta 106.52
_cell_angle_gamma 90.00
loop_
_atom_site_label
_atom_site_type_symbol
_atom_site_fract_x
_atom_site_fract_y
_atom_site_fract_z
Tm1 Tm 0.224 0.000 0.203
Ti1 Ti 0.118 0.500 0.427
Cl1 Cl 0.114 0.000 0.905
O1 O 0.078 0.500 0.627
O2 O 0.150 0.500 0.244
O3 O 0.169 0.000 0.432
```

E_form (uncorrected) in meV per atom: -3415.1
Electronic total energy in hartree per atom: -0.705



Record 6
LiVO2F2: single point on PBEsol structure, meta-GGA SCAN.

Cell and atoms, written as CIF:
```
data_LiVO2F2
_chemical_formula_sum 'Li2 V2 O4 F4'
_space_group_name_H-M_alt 'P 1 21 1'
_space_group_IT_number 4
_space_group_name_Hall 'P 2yb'
_cell_length_a 6.171
_cell_length_b 3.823
_cell_length_c 6.341
_cell_angle_alpha 90.00
_cell_angle_beta 100.58
_cell_angle_gamma 90.00
loop_
_atom_site_label
_atom_site_type_symbol
_atom_site_fract_x
_atom_site_fract_y
_atom_site_fract_z
Li1 Li 0.172 0.000 0.156
V1 V 0.288 0.268 0.703
O1 O 0.125 0.267 0.882
O2 O 0.457 0.771 0.181
F1 F 0.201 0.266 0.409
F2 F 0.272 0.767 0.656
```

E above lowest polymorph in eV per atom: 0.0718
E_form (uncorrected) in meV per atom: -2739.8
Electronic total energy in hartree per atom: -0.342



The total moment results, record by record, are as follows: 0.00, 4.42, 0.00, 0.00, 0.00, 0.12 Bohr magnetons per cell.